Material: MgSb2PbI
Method: DFT, PBEsol
State: optimized geometry

a = 5.736 Å, b = 5.736 Å, c = 5.948 Å
α = 90.00°, β = 90.00°, γ = 90.00°
Space group P4/mmm (No. 123)
Inequivalent atoms, fractional coordinates:
Mg (0.000, 0.000, 0.000) (multiplicity 1)
Sb (0.000, 0.500, 0.500) (multiplicity 2)
Pb (0.500, 0.500, 0.500) (multiplicity 1)
I (0.500, 0.500, 0.000) (multiplicity 1)

E_form (uncorrected) ... 0.6395 eV/atom
V ... 195.67 Å³/f.u.
Crystal system ... tetragonal
VASP energy ... -2.680 eV/atom


Material: MgTe2PbI
Method: DFT, PBEsol
State: optimized geometry

a = 5.786 Å, b = 5.786 Å, c = 5.920 Å
α = 90.00°, β = 90.00°, γ = 90.00°
Space group P4/mmm (No. 123)
Inequivalent atoms, fractional coordinates:
Mg (0.000, 0.000, 0.000) (multiplicity 1)
Te (0.000, 0.500, 0.500) (multiplicity 2)
Pb (0.500, 0.500, 0.500) (multiplicity 1)
I (0.500, 0.500, 0.000) (multiplicity 1)

E_form (uncorrected) ... 0.2825 eV/atom
V ... 198.21 Å³/f.u.
Crystal system ... tetragonal
VASP energy ... -2.624 eV/atom


Material: MgTePbI2
Method: DFT, PBEsol
State: optimized geometry

a = 5.975 Å, b = 5.975 Å, c = 5.900 Å
α = 90.00°, β = 90.00°, γ = 90.00°
Space group P4/mmm (No. 123)
Inequivalent atoms, fractional coordinates:
Mg (0.000, 0.000, 0.000) (multiplicity 1)
Te (0.500, 0.500, 0.000) (multiplicity 1)
Pb (0.500, 0.500, 0.500) (multiplicity 1)
I (0.000, 0.500, 0.500) (multiplicity 2)

E_form (uncorrected) ... 0.0832 eV/atom
V ... 210.63 Å³/f.u.
Crystal system ... tetragonal
VASP energy ... -2.472 eV/atom


Material: MgPd3I
Method: DFT, PBEsol
State: optimized geometry

a = 4.904 Å, b = 4.904 Å, c = 4.904 Å
α = 90.00°, β = 90.00°, γ = 90.00°
Space group Pm-3m (No. 221)
Inequivalent atoms, fractional coordinates:
Mg (0.000, 0.000, 0.000) (multiplicity 1)
Pd (0.000, 0.500, 0.500) (multiplicity 3)
I (0.500, 0.500, 0.500) (multiplicity 1)

E_form (uncorrected) ... 0.4512 eV/atom
V ... 117.96 Å³/f.u.
Crystal system ... cubic
VASP energy ... -3.821 eV/atom


Material: RbMg2PdI
Method: DFT, PBEsol
State: optimized geometry

a = 5.067 Å, b = 5.067 Å, c = 6.057 Å
α = 90.00°, β = 90.00°, γ = 90.00°
Space group P4/mmm (No. 123)
Inequivalent atoms, fractional coordinates:
Rb (0.000, 0.000, 0.000) (multiplicity 1)
Mg (0.000, 0.500, 0.500) (multiplicity 2)
Pd (0.500, 0.500, 0.500) (multiplicity 1)
I (0.500, 0.500, 0.000) (multiplicity 1)

E_form (uncorrected) ... -0.3186 eV/atom
V ... 155.52 Å³/f.u.
Crystal system ... tetragonal
VASP energy ... -2.756 eV/atom


Material: MgPtWI2
Method: DFT, PBEsol
State: optimized geometry

a = 5.479 Å, b = 5.479 Å, c = 4.933 Å
α = 90.00°, β = 90.00°, γ = 90.00°
Space group P4/mmm (No. 123)
Inequivalent atoms, fractional coordinates:
Mg (0.000, 0.000, 0.000) (multiplicity 1)
Pt (0.500, 0.500, 0.500) (multiplicity 1)
W (0.500, 0.500, 0.000) (multiplicity 1)
I (0.000, 0.500, 0.500) (multiplicity 2)

E_form (uncorrected) ... 1.1210 eV/atom
V ... 148.11 Å³/f.u.
Crystal system ... tetragonal
VASP energy ... -4.083 eV/atom


Material: Rb3MgI
Method: DFT, PBEsol
State: optimized geometry

a = 6.986 Å, b = 6.986 Å, c = 6.986 Å
α = 90.00°, β = 90.00°, γ = 90.00°
Space group Pm-3m (No. 221)
Inequivalent atoms, fractional coordinates:
Rb (0.000, 0.000, 0.500) (multiplicity 3)
Mg (0.000, 0.000, 0.000) (multiplicity 1)
I (0.500, 0.500, 0.500) (multiplicity 1)

E_form (uncorrected) ... -0.0991 eV/atom
V ... 340.94 Å³/f.u.
Crystal system ... cubic
VASP energy ... -1.411 eV/atom


Material: MgReTe2I
Method: DFT, PBEsol
State: optimized geometry

a = 5.429 Å, b = 5.429 Å, c = 5.287 Å
α = 90.00°, β = 90.00°, γ = 90.00°
Space group P4/mmm (No. 123)
Inequivalent atoms, fractional coordinates:
Mg (0.000, 0.000, 0.000) (multiplicity 1)
Re (0.500, 0.500, 0.500) (multiplicity 1)
Te (0.000, 0.500, 0.000) (multiplicity 2)
I (0.000, 0.000, 0.500) (multiplicity 1)

E_form (uncorrected) ... 1.3116 eV/atom
V ... 155.85 Å³/f.u.
Crystal system ... tetragonal
VASP energy ... -3.462 eV/atom


Material: Mg3RhI
Method: DFT, PBEsol
State: optimized geometry

a = 5.013 Å, b = 5.013 Å, c = 5.013 Å
α = 90.00°, β = 90.00°, γ = 90.00°
Space group Pm-3m (No. 221)
Inequivalent atoms, fractional coordinates:
Mg (0.000, 0.000, 0.500) (multiplicity 3)
Rh (0.000, 0.000, 0.000) (multiplicity 1)
I (0.500, 0.500, 0.500) (multiplicity 1)

E_form (uncorrected) ... -0.0822 eV/atom
V ... 126.00 Å³/f.u.
Crystal system ... cubic
VASP energy ... -3.094 eV/atom


Material: MgRh2I
Method: DFT, PBEsol
State: optimized geometry

a = 6.415 Å, b = 6.415 Å, c = 6.415 Å
α = 90.00°, β = 90.00°, γ = 90.00°
Space group Fm-3m (No. 225)
Inequivalent atoms, fractional coordinates:
Mg (0.000, 0.000, 0.000) (multiplicity 4)
Rh (0.250, 0.250, 0.250) (multiplicity 8)
I (0.000, 0.000, 0.500) (multiplicity 4)

E_form (uncorrected) ... 0.1664 eV/atom
V ... 66.00 Å³/f.u.
Crystal system ... cubic
VASP energy ... -4.774 eV/atom


Material: Mg2RhSI
Method: DFT, PBEsol
State: optimized geometry

a = 4.577 Å, b = 4.577 Å, c = 5.561 Å
α = 90.00°, β = 90.00°, γ = 90.00°
Space group P4/mmm (No. 123)
Inequivalent atoms, fractional coordinates:
Mg (0.000, 0.500, 0.000) (multiplicity 2)
Rh (0.000, 0.000, 0.500) (multiplicity 1)
S (0.500, 0.500, 0.000) (multiplicity 1)
I (0.500, 0.500, 0.500) (multiplicity 1)

E_form (uncorrected) ... 0.4026 eV/atom
V ... 116.53 Å³/f.u.
Crystal system ... tetragonal
VASP energy ... -3.142 eV/atom


Material: MgTeRhI2
Method: DFT, PBEsol
State: optimized geometry

a = 5.432 Å, b = 5.432 Å, c = 5.439 Å
α = 90.00°, β = 90.00°, γ = 90.00°
Space group P4/mmm (No. 123)
Inequivalent atoms, fractional coordinates:
Mg (0.000, 0.000, 0.000) (multiplicity 1)
Te (0.000, 0.000, 0.500) (multiplicity 1)
Rh (0.500, 0.500, 0.500) (multiplicity 1)
I (0.000, 0.500, 0.000) (multiplicity 2)

E_form (uncorrected) ... 0.6948 eV/atom
V ... 160.45 Å³/f.u.
Crystal system ... tetragonal
VASP energy ... -2.688 eV/atom


- Look up the V of the eleventh one.
  116.53 Å³/f.u.


- Which value of V does entry 2 give?
  198.21 Å³/f.u.


- What is the formula in the twelfth record?
  MgTeRhI2